A geometry-optimized Zr5Pd structure, computed with PBE-GGA.

POSCAR file:
```
Zr5Pd
1.0
5.371 0.000 0.000
-2.685 4.651 0.000
0.000 0.000 5.164
Zr Pd
5 1
direct
0.000 0.319 0.000
0.319 0.000 0.000
0.333 0.667 0.500
0.667 0.333 0.500
0.681 0.681 0.000
0.000 0.000 0.500
```

Space group: No. 189
Calculated volume (Å³/f.u.): 129.0
Energy of formation (eV/atom): -0.0789


A geometry-optimized Pm structure, computed with PBE-GGA.

POSCAR file:
```
Pm
1.0
3.659 0.000 0.000
-1.830 3.169 0.000
0.000 0.000 5.919
Pm
2
direct
0.333 0.667 0.250
0.667 0.333 0.750
```

Space group: No. 194
Calculated volume (Å³/f.u.): 34.3
Energy relative to the lowest polymorph listed for this composition (meV/atom): 25.8
Energy of formation (eV/atom): 0.0258


A geometry-optimized Pm structure, computed with PBE-GGA.

POSCAR file:
```
Pm
1.0
4.126 0.000 0.000
-2.063 3.573 0.000
0.000 0.000 6.751
Pm
3
direct
0.000 0.331 0.167
0.331 0.000 0.833
0.669 0.669 0.500
```

Space group: No. 152
Calculated volume (Å³/f.u.): 33.2
Energy relative to the lowest polymorph listed for this composition (meV/atom): 505.7
Energy of formation (eV/atom): 0.5057


A geometry-optimized Pm structure, computed with PBE-GGA.

POSCAR file:
```
Pm
1.0
-1.805 1.805 2.621
1.805 -1.805 2.621
1.805 1.805 -2.621
Pm
1
direct
0.000 0.000 0.000
```

Space group: No. 139
Calculated volume (Å³/f.u.): 34.2
Energy relative to the lowest polymorph listed for this composition (meV/atom): 8.9
Energy of formation (eV/atom): 0.0089


A geometry-optimized Pm structure, computed with PBE-GGA.

POSCAR file:
```
Pm
1.0
1.828 1.056 2.952
-1.828 1.056 2.952
0.000 -2.111 2.952
Pm
1
direct
0.000 0.000 0.000
```

Space group: No. 166
Calculated volume (Å³/f.u.): 34.2
Energy relative to the lowest polymorph listed for this composition (meV/atom): 8.2
Energy of formation (eV/atom): 0.0082


A geometry-optimized Pm structure, computed with PBE-GGA.

POSCAR file:
```
Pm
1.0
0.000 3.292 3.292
3.292 0.000 3.292
3.292 3.292 0.000
Pm
2
direct
0.125 0.125 0.125
0.875 0.875 0.875
```

Space group: No. 227
Calculated volume (Å³/f.u.): 35.7
Energy relative to the lowest polymorph listed for this composition (meV/atom): 1624.0
Energy of formation (eV/atom): 1.6240


A geometry-optimized Pm structure, computed with PBE-GGA.

POSCAR file:
```
Pm
1.0
1.813 -3.209 0.000
1.813 3.209 0.000
0.000 0.000 5.882
Pm
2
direct
0.155 0.845 0.750
0.845 0.155 0.250
```

Space group: No. 63
Calculated volume (Å³/f.u.): 34.2
Energy relative to the lowest polymorph listed for this composition (meV/atom): 28.5
Energy of formation (eV/atom): 0.0285


A geometry-optimized Pm structure, computed with PBE-GGA.

POSCAR file:
```
Pm
1.0
6.432 0.000 0.000
0.000 6.432 0.000
0.000 0.000 6.432
Pm
8
direct
0.000 0.000 0.000
0.000 0.250 0.500
0.000 0.750 0.500
0.250 0.500 0.000
0.500 0.000 0.250
0.500 0.000 0.750
0.500 0.500 0.500
0.750 0.500 0.000
```

Space group: No. 223
Calculated volume (Å³/f.u.): 33.3
Energy relative to the lowest polymorph listed for this composition (meV/atom): 211.7
Energy of formation (eV/atom): 0.2117


> energy of formation of number 2 (Pm)?

0.0258 eV/atom